No. 1
{
  "formula": "Hg3BiF",
  "functional": "PBE-GGA",
  "state": "optimized geometry",
  "spacegroup": "Pm-3m (221)",
  "e_form_raw_mev_per_atom": -143,
  "relative_energy_ev_per_atom": 0.013,
  "lattice_angstrom": [[5.0425, 0.0000, 0.0000], [0.0000, 5.0425, 0.0000], [0.0000, 0.0000, 5.0425]],
  "species": ["F", "Bi", "Hg", "Hg", "Hg"],
  "frac_coords": [[0.0000, 0.0000, 0.0000], [0.5000, 0.5000, 0.5000], [0.0000, 0.5000, 0.0000], [0.0000, 0.0000, 0.5000], [0.5000, 0.0000, 0.0000]]
}

=====

No. 2
{
  "formula": "ErAlNi",
  "functional": "PBE-GGA",
  "state": "optimized geometry",
  "spacegroup": "Fddd (70)",
  "formation_energy_kcal_per_mol_atoms": -8.55,
  "lattice_angstrom": [[6.7671, 0.0367, 0.0000], [-2.5342, 6.2747, 0.0000], [-2.1164, -3.1557, 5.4543]],
  "species": ["Er", "Er", "Er", "Er", "Ni", "Ni", "Ni", "Ni", "Al", "Al", "Al", "Al"],
  "frac_coords": [[0.6250, 0.3750, 0.2500], [0.1250, 0.3750, 0.7500], [0.6250, 0.3750, 0.7500], [0.6250, 0.8750, 0.2500], [0.0742, 0.9258, 0.5000], [0.8242, 0.1758, 0.0000], [0.4258, 0.5742, 0.5000], [0.1758, 0.8242, 0.0000], [0.1187, 0.6187, 0.2375], [0.1313, 0.1313, 0.2625], [0.8687, 0.8687, 0.7375], [0.3813, 0.8813, 0.7625]]
}

=====

No. 3
{
  "formula": "Al2VW",
  "functional": "PBE-GGA",
  "state": "optimized geometry",
  "spacegroup": "Fm-3m (225)",
  "relative_energy_ev_per_atom": 0.218,
  "formation_energy_kcal_per_mol_atoms": 2.72,
  "lattice_angstrom": [[0.0000, 3.1144, 3.1144], [3.1144, 0.0000, 3.1144], [3.1144, 3.1144, 0.0000]],
  "species": ["Al", "Al", "W", "V"],
  "frac_coords": [[0.2500, 0.2500, 0.2500], [0.7500, 0.7500, 0.7500], [0.5000, 0.5000, 0.5000], [0.0000, 0.0000, 0.0000]]
}

=====

No. 4
{
  "formula": "Cr2TeSe",
  "functional": "PBE-GGA",
  "state": "optimized geometry",
  "spacegroup": "R-3m (166)",
  "e_form_raw_mev_per_atom": -139,
  "relative_energy_ev_per_atom": 0.017,
  "lattice_angstrom": [[3.9085, 0.0153, -0.0115], [1.9373, 3.3946, -0.0115], [1.9697, 1.1489, 6.3977]],
  "species": ["Cr", "Cr", "Se", "Te"],
  "frac_coords": [[0.0065, 0.0065, 0.9804], [0.4935, 0.4935, 0.5196], [0.7500, 0.7500, 0.7500], [0.2500, 0.2500, 0.2500]]
}

=====

| no. | electronic total energy (eV/atom) | N(E_F) (states/eV per cell) |
| --- | --- | --- |
| 1 | -1.474 | 2.9 |
| 2 | -5.066 | 9.8 |
| 3 | -7.271 | 3.6 |
| 4 | -6.608 | 2.1 |